Record 1
VASP calculation (GGA-PBEsol) on an optimized crystal structure of RbYCl2.

a = 6.875 Å, b = 6.875 Å, c = 12.771 Å
α = 90.00°, β = 90.00°, γ = 90.00°
Fractional coordinates of all 16 atoms:
Rb1 0.000 0.000 0.000
Rb2 0.000 0.500 0.250
Rb3 0.500 0.000 0.750
Rb4 0.500 0.500 0.500
Y1 0.000 0.000 0.500
Y2 0.000 0.500 0.750
Y3 0.500 0.000 0.250
Y4 0.500 0.500 0.000
Cl1 0.185 0.250 0.625
Cl2 0.250 0.685 0.875
Cl3 0.250 0.815 0.375
Cl4 0.315 0.250 0.125
Cl5 0.685 0.750 0.125
Cl6 0.750 0.185 0.375
Cl7 0.750 0.315 0.875
Cl8 0.815 0.750 0.625

Results
Uncorrected formation energy   -1.21 eV per atom
Space-group type   I-42d, No. 122



Record 2
VASP calculation (GGA-PBEsol) on an optimized crystal structure of Rb2ZnCl4.

a = 9.208 Å, b = 7.075 Å, c = 12.852 Å
α = 90.00°, β = 90.00°, γ = 90.00°
Fractional coordinates of all 28 atoms:
Rb1 0.018 0.250 0.177
Rb2 0.125 0.750 0.426
Rb3 0.375 0.250 0.926
Rb4 0.482 0.750 0.677
Rb5 0.518 0.250 0.323
Rb6 0.625 0.750 0.074
Rb7 0.875 0.250 0.574
Rb8 0.982 0.750 0.823
Zn1 0.224 0.750 0.074
Zn2 0.276 0.250 0.574
Zn3 0.724 0.750 0.426
Zn4 0.776 0.250 0.926
Cl1 0.018 0.250 0.917
Cl2 0.176 0.505 0.651
Cl3 0.176 0.995 0.651
Cl4 0.186 0.250 0.409
Cl5 0.314 0.750 0.909
Cl6 0.324 0.005 0.151
Cl7 0.324 0.495 0.151
Cl8 0.482 0.750 0.417
Cl9 0.518 0.250 0.583
Cl10 0.676 0.505 0.849
Cl11 0.676 0.995 0.849
Cl12 0.686 0.250 0.091
Cl13 0.814 0.750 0.591
Cl14 0.824 0.005 0.349
Cl15 0.824 0.495 0.349
Cl16 0.982 0.750 0.083

Results
Uncorrected formation energy   -1.65 eV per atom
Space-group type   Pnma, No. 62



Record 3
VASP calculation (GGA-PBEsol) on an optimized crystal structure of Rb3ZrCl.

a = 6.243 Å, b = 6.243 Å, c = 6.243 Å
α = 90.00°, β = 90.00°, γ = 90.00°
Fractional coordinates of all 5 atoms:
Rb1 0.000 0.000 0.500
Rb2 0.000 0.500 0.000
Rb3 0.500 0.000 0.000
Zr1 0.500 0.500 0.500
Cl1 0.000 0.000 0.000

Results
Uncorrected formation energy   0.17 eV per atom
Space-group type   Pm-3m, No. 221



Record 4
VASP calculation (GGA-PBEsol) on an optimized crystal structure of RbZrCl2.

a = 3.618 Å, b = 3.618 Å, c = 28.428 Å
α = 90.00°, β = 90.00°, γ = 120.00°
Fractional coordinates of all 12 atoms:
Rb1 0.000 0.000 0.000
Rb2 0.333 0.667 0.667
Rb3 0.667 0.333 0.333
Zr1 0.000 0.000 0.500
Zr2 0.333 0.667 0.167
Zr3 0.667 0.333 0.833
Cl1 0.000 0.000 0.413
Cl2 0.000 0.000 0.587
Cl3 0.333 0.667 0.079
Cl4 0.333 0.667 0.254
Cl5 0.667 0.333 0.746
Cl6 0.667 0.333 0.921

Results
Uncorrected formation energy   -0.99 eV per atom
Space-group type   R-3m, No. 166



Record 5
VASP calculation (GGA-PBEsol) on an optimized crystal structure of ReCl4.

a = 6.310 Å, b = 6.396 Å, c = 12.408 Å
α = 90.00°, β = 93.00°, γ = 90.00°
Fractional coordinates of all 20 atoms:
Re1 0.185 0.230 0.311
Re2 0.185 0.770 0.811
Re3 0.815 0.230 0.189
Re4 0.815 0.770 0.689
Cl1 0.000 0.459 0.750
Cl2 0.000 0.541 0.250
Cl3 0.134 0.088 0.132
Cl4 0.134 0.912 0.632
Cl5 0.250 0.383 0.474
Cl6 0.250 0.617 0.974
Cl7 0.362 0.064 0.864
Cl8 0.362 0.936 0.364
Cl9 0.500 0.399 0.250
Cl10 0.500 0.601 0.750
Cl11 0.638 0.064 0.636
Cl12 0.638 0.936 0.136
Cl13 0.750 0.383 0.026
Cl14 0.750 0.617 0.526
Cl15 0.866 0.088 0.368
Cl16 0.866 0.912 0.868

Results
Uncorrected formation energy   -0.56 eV per atom
Space-group type   P2/c, No. 13



Record 6
VASP calculation (GGA-PBEsol) on an optimized crystal structure of ReCl5.

a = 9.162 Å, b = 11.436 Å, c = 12.129 Å
α = 90.00°, β = 109.26°, γ = 90.00°
Fractional coordinates of all 48 atoms:
Re1 0.118 0.126 0.315
Re2 0.118 0.374 0.815
Re3 0.309 0.623 0.292
Re4 0.309 0.877 0.792
Re5 0.691 0.123 0.208
Re6 0.691 0.377 0.708
Re7 0.882 0.626 0.185
Re8 0.882 0.874 0.685
Cl1 0.094 0.512 0.158
Cl2 0.094 0.988 0.658
Cl3 0.096 0.244 0.459
Cl4 0.096 0.256 0.959
Cl5 0.097 0.739 0.318
Cl6 0.097 0.761 0.818
Cl7 0.098 0.009 0.160
Cl8 0.098 0.491 0.660
Cl9 0.286 0.506 0.436
Cl10 0.286 0.994 0.936
Cl11 0.290 0.244 0.276
Cl12 0.290 0.256 0.776
Cl13 0.291 0.742 0.139
Cl14 0.291 0.758 0.639
Cl15 0.292 0.009 0.439
Cl16 0.292 0.491 0.939
Cl17 0.481 0.505 0.254
Cl18 0.481 0.995 0.754
Cl19 0.483 0.739 0.418
Cl20 0.483 0.761 0.918
Cl21 0.517 0.239 0.082
Cl22 0.517 0.261 0.582
Cl23 0.519 0.005 0.246
Cl24 0.519 0.495 0.746
Cl25 0.708 0.509 0.061
Cl26 0.708 0.991 0.561
Cl27 0.709 0.242 0.361
Cl28 0.709 0.258 0.861
Cl29 0.710 0.744 0.224
Cl30 0.710 0.756 0.724
Cl31 0.714 0.006 0.064
Cl32 0.714 0.494 0.564
Cl33 0.902 0.509 0.340
Cl34 0.902 0.991 0.840
Cl35 0.903 0.239 0.182
Cl36 0.903 0.261 0.682
Cl37 0.904 0.744 0.041
Cl38 0.904 0.756 0.541
Cl39 0.906 0.012 0.342
Cl40 0.906 0.488 0.842

Results
Uncorrected formation energy   -0.54 eV per atom
Space-group type   P2_1/c, No. 14